MgTl2Cd | Alexandria via LeMat-Bulk | GGA-PBEsol | relaxed; density of states at the Fermi level = 1.54 states/eV/cell; energy relative to the lowest polymorph listed for this composition = 15.2 meV per atom; symmetry = Imm2 (44); total energy = -8.19 eV for the cell shown
1.0
3.447 0.000 0.000
0.000 5.271 0.000
-1.723 -2.635 5.437
Tl Mg Cd
2 1 1
direct
0.758 0.258 0.516 Tl
0.988 0.988 0.976 Tl
0.241 0.741 0.483 Mg
0.513 0.513 0.025 Cd